1.
Below is HoErB4 after structural relaxation, with properties calculated at the GGA-PBE level.

SG ... P6/mmm, No. 191
Calculated total energy ... -6.58 eV/atom
Calculated density ... 8.8 Mg/m³

Unit cell a=3.278 b=3.278 c=7.616 alpha=90.00 beta=90.00 gamma=120.00
Positions (direct):
B 0.667 0.333 0.751
B 0.667 0.333 0.249
B 0.333 0.667 0.249
B 0.333 0.667 0.751
Er 0.000 0.000 0.000
Ho 0.000 0.000 0.500

---

2.
Below is HoErB3 after structural relaxation, with properties calculated at the GGA-PBE level.

SG ... P2_1/m, No. 11
Calculated total energy ... -6.31 eV/atom
Calculated density ... 8.6 Mg/m³

Unit cell a=5.874 b=3.246 c=7.409 alpha=90.00 beta=90.45 gamma=90.00
Positions (direct):
B 0.580 0.250 0.500
B 0.550 0.250 0.001
B 0.920 0.250 0.500
B 0.080 0.750 0.500
B 0.450 0.750 0.999
B 0.420 0.750 0.500
Er 0.252 0.250 0.750
Er 0.748 0.750 0.250
Ho 0.753 0.750 0.754
Ho 0.247 0.250 0.246

---

3.
Below is HoErB4 after structural relaxation, with properties calculated at the GGA-PBE level.

SG ... Immm, No. 71
Calculated total energy ... -6.58 eV/atom
Calculated density ... 8.8 Mg/m³

Unit cell a=5.026 b=5.026 c=5.026 alpha=141.95 beta=111.27 gamma=81.36
Positions (direct):
Er 0.000 0.000 0.000
B 0.083 0.750 0.333
B 0.583 0.250 0.333
B 0.417 0.750 0.667
B 0.917 0.250 0.667
Ho 0.500 0.500 0.000

---

4.
Below is HoErB5 after structural relaxation, with properties calculated at the GGA-PBE level.

SG ... Imm2, No. 44
Calculated total energy ... -6.51 eV/atom
Calculated density ... 7.7 Mg/m³

Unit cell a=5.325 b=5.325 c=5.325 alpha=144.40 beta=102.44 gamma=88.37
Positions (direct):
Er 0.254 0.254 0.000
B 0.264 0.000 0.263
B 0.737 0.000 0.737
B 0.499 0.999 0.500
B 0.863 0.501 0.362
B 0.138 0.501 0.638
Ho 0.745 0.745 0.000